Here is a relaxed HgRhCl2 crystal from Alexandria via LeMat-Bulk. Energies are from PBE-GGA.

Values from the calculation:
The value obtained for the calculated total energy is -2.6759 eV per atom. For the energy above the most stable polymorph in this dataset, the calculation gives 0.458 eV/atom. The total magnetization is 1.022 Bohr magnetons per cell.

Cell lengths 3.633, 3.633, 6.992 Å; angles 90.00, 90.00, 90.00 degrees
Positions (direct):
Rh 0.500 0.500 0.689
Hg 0.000 0.000 0.541
Cl 0.000 0.000 0.934
Cl 0.500 0.500 0.337